InMo3O after structural relaxation, computed with PBE+U.

Cell: 4.239 4.239 4.239 Å, 90.00 90.00 90.00°
Positions (direct):
Mo 0.000 0.500 0.000
Mo 0.500 0.000 0.000
Mo 0.000 0.000 0.500
In 0.500 0.500 0.500
O 0.000 0.000 0.000

Values from the calculation:
The total energy is -0.1900 hartree per atom. The value obtained for the volume is 76 Å³/cell. The calculation puts the mass density at 9.13 g cm⁻³. Its excess energy over the best structure of this formula in the dataset is 0.0 meV/atom.